(1)
# NaSrNdWO6 (GGA+U, relaxed)
data_NaSrNdWO6
_chemical_formula_sum 'Na4 Sr4 Nd4 W4 O24'
_space_group_name_H-M_alt 'F -4 3 m'
_space_group_IT_number 216
_space_group_name_Hall 'F -4 2 3'
_cell_length_a 8.521
_cell_length_b 8.521
_cell_length_c 8.521
_cell_angle_alpha 90.00
_cell_angle_beta 90.00
_cell_angle_gamma 90.00
loop_
_atom_site_label
_atom_site_type_symbol
_atom_site_fract_x
_atom_site_fract_y
_atom_site_fract_z
_atom_site_occupancy
Na1 Na 0.000 0.000 0.000 1
Sr1 Sr 0.000 0.000 0.500 1
Nd1 Nd 0.250 0.250 0.250 1
W1 W 0.250 0.250 0.750 1
O1 O 0.021 0.250 0.750 1
# - Energy above the lowest structure with this stoichiometry: 0 meV/atom
# - E_tot: -6.991 eV per atom



(2)
# NaSrNdWO6 (GGA+U, relaxed)
data_NaSrNdWO6
_chemical_formula_sum 'Na4 Sr4 Nd4 W4 O24'
_space_group_name_H-M_alt 'F -4 3 m'
_space_group_IT_number 216
_space_group_name_Hall 'F -4 2 3'
_cell_length_a 8.145
_cell_length_b 8.145
_cell_length_c 8.145
_cell_angle_alpha 90.00
_cell_angle_beta 90.00
_cell_angle_gamma 90.00
loop_
_atom_site_label
_atom_site_type_symbol
_atom_site_fract_x
_atom_site_fract_y
_atom_site_fract_z
_atom_site_occupancy
Na1 Na 0.000 0.000 0.000 1
Sr1 Sr 0.250 0.250 0.250 1
Nd1 Nd 0.250 0.250 0.750 1
W1 W 0.000 0.000 0.500 1
O1 O 0.000 0.000 0.263 1
# - Energy above the lowest structure with this stoichiometry: 97 meV/atom
# - E_tot: -6.895 eV per atom



Number 1: volume 15.47 Å³ per atom. Number 2: volume 13.51 Å³ per atom.